# 1
Below is crystalline Pr6InOs2 at its relaxed geometry, with properties calculated at the PBE level.

Computed properties:
- N(E_F): 8.10 states/eV/f.u.
- Final energy: -6.1578 eV/atom
- SG: Immm, No. 71
- E_form: -0.17 eV per atom

Unit cell a=8.8508 b=8.8508 c=8.8508 alpha=105.31 beta=110.76 gamma=112.42
With the nearest neighbours (Å) after each atom.
Sites, in units of the cell vectors:
Os (0.5000, 0.3846, 0.8846)  1 Os 2.48
Pr (0.3134, 0.6416, 0.3282)  3 Os 2.93-3.13
Pr (0.6866, 0.0148, 0.3282)  3 Os 2.93-3.13
Pr (0.0950, 0.2801, 0.8149)  3 Os 3.11, 1 In 3.33
In (0.0000, 0.0000, 0.0000)  2 Os 3.30, 8 Pr 3.31-3.33
Pr (0.6866, 0.3584, 0.6718)  3 Os 2.93-3.13
Pr (0.7941, 0.7600, 0.5540)  1 Os 2.85
Pr (0.2059, 0.2400, 0.4460)  1 Os 2.85
Pr (0.9050, 0.7199, 0.1851)  3 Os 3.11, 1 In 3.33
In (0.0000, 0.5000, 0.5000)  12 Pr 3.48-3.84
Os (0.3280, 0.0000, 0.3280)  8 Pr 2.85-3.13
Pr (0.4651, 0.2801, 0.1851)  3 Os 3.11, 1 In 3.33
Os (0.5000, 0.6154, 0.1154)  1 Os 2.48
Pr (0.7941, 0.2400, 0.0341)  1 Os 2.85
Pr (0.2059, 0.7600, 0.9659)  1 Os 2.85
Pr (0.3134, 0.9852, 0.6718)  3 Os 2.93-3.13
Os (0.6720, 0.0000, 0.6720)  8 Pr 2.85-3.13
Pr (0.5349, 0.7199, 0.8149)  3 Os 3.11, 1 In 3.33

# 2
Below is crystalline YAsSe2Br at its relaxed geometry, with properties calculated at the PBE level.

Computed properties:
- Energy relative to the elements, uncorrected: -318 meV/atom
- N(E_F): 2.51 states/eV/f.u.
- Energy above the lowest structure with this stoichiometry: 0.000 eV per atom
- Final energy: -4.2695 eV/atom
- SG: P4/mmm, No. 123

Unit cell a=5.1590 b=5.1590 c=4.9900 alpha=90.00 beta=90.00 gamma=90.00
With the nearest neighbours (Å) after each atom.
Sites, in units of the cell vectors:
Se (0.0000, 0.5000, 0.0000)  2 As 2.58
Y (0.5000, 0.5000, 0.5000)  8 Se 3.59, 4 Br 3.65
Br (0.0000, 0.0000, 0.5000)  2 As 2.49
As (0.0000, 0.0000, 0.0000)  2 Br 2.49, 4 Se 2.58
Se (0.5000, 0.0000, 0.0000)  2 As 2.58

# 3
Below is crystalline Ho5Hg2O at its relaxed geometry, with properties calculated at the PBE level.

Computed properties:
- Energy relative to the elements, uncorrected: -738 meV/atom
- N(E_F): 7.14 states/eV/f.u.
- Final energy: -4.2941 eV/atom
- SG: Cmcm, No. 63

Unit cell a=3.6423 b=10.1270 c=12.6945 alpha=90.00 beta=90.00 gamma=100.36
With the nearest neighbours (Å) after each atom.
Sites, in units of the cell vectors:
Ho (0.6995, 0.3991, 0.2500)  2 O 2.25
Ho (0.9234, 0.8468, 0.8960)  1 O 2.17
Hg (0.0740, 0.1480, 0.8601)  1 Hg 2.80, 4 Ho 3.03-3.10
Ho (0.0766, 0.1532, 0.3960)  1 O 2.17
Hg (0.0740, 0.1480, 0.6399)  1 Hg 2.80, 4 Ho 3.03-3.10
Ho (0.0766, 0.1532, 0.1040)  1 O 2.17
O (0.8671, 0.7343, 0.7500)  4 Ho 2.17-2.25
Ho (0.6855, 0.3710, 0.9450)  2 Hg 3.07
Hg (0.9260, 0.8520, 0.3601)  1 Hg 2.80, 4 Ho 3.03-3.10
Ho (0.3005, 0.6009, 0.7500)  2 O 2.25
O (0.1329, 0.2657, 0.2500)  4 Ho 2.17-2.25
Ho (0.6855, 0.3710, 0.5550)  2 Hg 3.07
Ho (0.3145, 0.6290, 0.0550)  2 Hg 3.07
Ho (0.9234, 0.8468, 0.6040)  1 O 2.17
Ho (0.3145, 0.6290, 0.4450)  2 Hg 3.07
Hg (0.9260, 0.8520, 0.1399)  1 Hg 2.80, 4 Ho 3.03-3.10

# 4
Below is crystalline Na2Ge2Bi at its relaxed geometry, with properties calculated at the PBE level.

Computed properties:
- N(E_F): 2.08 states/eV/f.u.
- Energy above the lowest structure with this stoichiometry: 0.176 eV per atom
- Final energy: -2.9767 eV/atom
- SG: P4/mbm, No. 127
- E_form: 0.17 eV per atom

Unit cell a=8.8827 b=8.8827 c=3.1262 alpha=90.00 beta=90.00 gamma=90.00
With the nearest neighbours (Å) after each atom.
Sites, in units of the cell vectors:
Ge (0.8199, 0.3199, 0.5000)  6 Na 2.96-3.13, 2 Ge 3.13
Ge (0.3199, 0.1801, 0.5000)  6 Na 2.96-3.13, 2 Ge 3.13
Na (0.3802, 0.8802, 0.0000)  6 Ge 2.96-3.13, 3 Na 3.01-3.13
Ge (0.6801, 0.8199, 0.5000)  6 Na 2.96-3.13, 2 Ge 3.13
Na (0.6198, 0.1198, 0.0000)  6 Ge 2.96-3.13, 3 Na 3.01-3.13
Na (0.1198, 0.3802, 0.0000)  6 Ge 2.96-3.13, 3 Na 3.01-3.13
Bi (0.5000, 0.5000, 0.0000)  2 Bi 3.13
Bi (0.0000, 0.0000, 0.0000)  2 Bi 3.13
Na (0.8802, 0.6198, 0.0000)  6 Ge 2.96-3.13, 3 Na 3.01-3.13
Ge (0.1801, 0.6801, 0.5000)  6 Na 2.96-3.13, 2 Ge 3.13